No. 1
VASP calculation (PBE-GGA) on a relaxed structure of AlIn2P.

The value obtained for the formation energy is 0.31 eV per atom. The calculated volume comes out at 173.67 Å³/cell. The value obtained for the density of states at the Fermi level is 2.2 states/eV/f.u. For the energy relative to the lowest polymorph listed for this composition, the calculation gives 341 meV per atom.

It has space group I-4m2 (No. 119), with a = 4.459 Å, b = 4.459 Å, c = 8.734 Å, α = 90.00°, β = 90.00° and γ = 90.00°. The inequivalent atoms are Al at (0.000, 0.000, 0.000), In at (0.000, 0.000, 0.500), In at (0.000, 0.500, 0.750) and P at (0.000, 0.500, 0.250).

=====

No. 2
VASP calculation (PBE-GGA) on a relaxed structure of AlIn2P.

The value obtained for the formation energy is 0.25 eV per atom. The calculated volume comes out at 177.25 Å³/cell. The value obtained for the density of states at the Fermi level is 1.5 states/eV/f.u. For the energy relative to the lowest polymorph listed for this composition, the calculation gives 281 meV per atom.

It has space group C2/m (No. 12), with a = 5.852 Å, b = 7.883 Å, c = 4.012 Å, α = 90.00°, β = 106.71° and γ = 90.00°. The inequivalent atoms are Al at (0.000, 0.000, 0.000), In at (0.250, 0.250, 0.500) and P at (0.000, 0.500, 0.000).

=====

Q: The lowest density of states at the Fermi level belongs to which entry?
A: number 2